(1)
Computed, not measured: a geometry-optimized MgTcSb structure at the PBE level of DFT.

a b c (Å): 4.417 4.417 6.297
angles (deg): 90.00 90.05 90.00
Positions (direct):
Tc  0.750  0.750  0.500
Tc  0.250  0.250  0.500
Sb  0.250  0.750  0.748
Sb  0.750  0.250  0.252
Mg  0.751  0.250  0.786
Mg  0.249  0.750  0.214

## Properties
* energy relative to the elements, uncorrected: -0.138 eV per atom
* space group: P2_1/m, No. 11

---

(2)
Computed, not measured: a geometry-optimized SrTc2P structure at the PBE level of DFT.

a b c (Å): 5.626 5.626 5.626
angles (deg): 139.51 139.51 58.60
Positions (direct):
Sr  0.000  0.000  0.000
Tc  0.250  0.750  0.500
Tc  0.750  0.250  0.500
P  0.500  0.500  0.000

## Properties
* formation energy from the elements: 0.755 eV/atom
* space group: I4/mmm, No. 139

---

no.,size of the total moment (μB per cell),final energy (eV/atom)
1,0.00,-5.499
2,0.00,-6.201